<a>
Compound: HfRhCl2
Source: Alexandria
Functional: PBE
Structure: relaxed

Unit cell a=5.810 b=5.810 c=6.529 alpha=63.58 beta=63.58 gamma=90.00
Sites, in units of the cell vectors:
Rh (0.500, 0.500, 0.000)
Rh (0.250, 0.750, 0.500)
Hf (0.000, 0.000, 0.000)
Hf (0.750, 0.250, 0.500)
Cl (0.617, 0.125, 0.250)
Cl (0.133, 0.625, 0.250)
Cl (0.375, 0.383, 0.750)
Cl (0.875, 0.867, 0.750)

Summary:
* Fermi-level density of states: 7.1 states/eV/cell
* V: 21.4 A^3/atom


<b>
Compound: HfRhCl2
Source: Alexandria
Functional: PBE
Structure: relaxed

Unit cell a=8.557 b=8.557 c=8.557 alpha=21.26 beta=21.26 gamma=21.26
Sites, in units of the cell vectors:
Rh (0.000, 0.000, 0.000)
Hf (0.500, 0.500, 0.500)
Cl (0.907, 0.907, 0.907)
Cl (0.093, 0.093, 0.093)

Summary:
* Fermi-level density of states: 3.0 states/eV/cell
* V: 18.0 A^3/atom


<c>
Compound: HfRhCl2
Source: Alexandria
Functional: PBE
Structure: relaxed

Unit cell a=4.508 b=4.508 c=4.508 alpha=60.00 beta=60.00 gamma=60.00
Sites, in units of the cell vectors:
Rh (0.000, 0.000, 0.000)
Hf (0.500, 0.500, 0.500)
Cl (0.250, 0.250, 0.250)
Cl (0.750, 0.750, 0.750)

Summary:
* Fermi-level density of states: 3.5 states/eV/cell
* V: 16.2 A^3/atom


The relative energies come out as <a> 559; <b> 0; <c> 365, with values in meV per atom.